Cs3CoO2 | GGA+U | optimized geometry

Summary:
Raw total energy in eV per atom: -3.9381

abc: 7.2632 10.2277 10.2329
angles: 90.00 113.49 90.00
Last column: nearest neighbours and their distance in Å.
Atoms (fractional coordinates):
Cs 0.2321 0.0344 0.3777  3 O 3.03-3.32
Cs 0.2321 0.4656 0.8777  3 O 3.03-3.32
Cs 0.2517 0.0396 0.9968  4 O 3.08-3.43
Cs 0.2517 0.4604 0.4968  4 O 3.08-3.43
Cs 0.2645 0.7079 0.1887  4 O 2.98-3.24
Cs 0.2645 0.7921 0.6887  4 O 2.98-3.24
Cs 0.7355 0.2079 0.3113  4 O 2.98-3.24
Cs 0.7355 0.2921 0.8113  4 O 2.98-3.24
Cs 0.7483 0.5396 0.5032  4 O 3.08-3.43
Cs 0.7483 0.9604 0.0032  4 O 3.08-3.43
Cs 0.7679 0.5344 0.1223  3 O 3.03-3.32
Cs 0.7679 0.9656 0.6223  3 O 3.03-3.32
Co 0.2045 0.1779 0.6748  2 O 1.78
Co 0.2045 0.3221 0.1748  2 O 1.78
Co 0.7955 0.6779 0.8252  2 O 1.78
Co 0.7955 0.8221 0.3252  2 O 1.78
O 0.0043 0.2062 0.1235  1 Co 1.78
O 0.0043 0.2938 0.6235  1 Co 1.78
O 0.4112 0.0675 0.7241  1 Co 1.78
O 0.4112 0.4325 0.2241  1 Co 1.78
O 0.5888 0.5675 0.7759  1 Co 1.78
O 0.5888 0.9325 0.2759  1 Co 1.78
O 0.9957 0.7062 0.3765  1 Co 1.78
O 0.9957 0.7938 0.8765  1 Co 1.78